# SnHgI2 | Alexandria | GGA-PBE | relaxed
# - crystal system = tetragonal
# - E_form (uncorrected) (eV/atom) = -0.223
# - energy above the most stable polymorph in this dataset (meV per atom) = 130.6
data_SnHgI2
_chemical_formula_sum 'Sn1 Hg1 I2'
_space_group_name_H-M_alt 'P 4/m m m'
_space_group_IT_number 123
_space_group_name_Hall '-P 4 2'
_cell_length_a 3.984
_cell_length_b 3.984
_cell_length_c 10.019
_cell_angle_alpha 90.00
_cell_angle_beta 90.00
_cell_angle_gamma 90.00
loop_
_atom_site_label
_atom_site_type_symbol
_atom_site_fract_x
_atom_site_fract_y
_atom_site_fract_z
_atom_site_occupancy
Sn1 Sn 0.000 0.000 0.000 1
Hg1 Hg 0.000 0.000 0.500 1
I1 I 0.500 0.500 0.189 1

# Ac2GdPd | Alexandria | GGA-PBE | relaxed
# - crystal system = trigonal
# - energy above the most stable polymorph in this dataset (meV per atom) = 33.0
data_Ac2GdPd
_chemical_formula_sum 'Ac6 Gd3 Pd3'
_space_group_name_H-M_alt 'R -3 m'
_space_group_IT_number 166
_space_group_name_Hall '-R 3 2"'
_cell_length_a 4.0640
_cell_length_b 4.0640
_cell_length_c 30.0154
_cell_angle_alpha 90.00
_cell_angle_beta 90.00
_cell_angle_gamma 120.00
loop_
_atom_site_label
_atom_site_type_symbol
_atom_site_fract_x
_atom_site_fract_y
_atom_site_fract_z
_atom_site_occupancy
Ac1 Ac 0.0000 0.0000 0.2319 1
Gd1 Gd 0.0000 0.0000 0.0000 1
Pd1 Pd 0.0000 0.0000 0.5000 1

# Mn2C | Alexandria | GGA-PBE | relaxed
# - crystal system = monoclinic
# - E_tot (hartree per atom) = -0.332
data_Mn2C
_chemical_formula_sum 'Mn8 C4'
_space_group_name_H-M_alt 'C 1 2/m 1'
_space_group_IT_number 12
_space_group_name_Hall '-C 2y'
_cell_length_a 9.558
_cell_length_b 2.588
_cell_length_c 4.546
_cell_angle_alpha 90.00
_cell_angle_beta 109.83
_cell_angle_gamma 90.00
loop_
_atom_site_label
_atom_site_type_symbol
_atom_site_fract_x
_atom_site_fract_y
_atom_site_fract_z
_atom_site_occupancy
Mn1 Mn 0.031 0.000 0.271 1
Mn2 Mn 0.208 0.500 0.723 1
C1 C 0.126 0.500 0.068 1

# Ti3H3Au | Alexandria | GGA-PBE | relaxed
# - crystal system = cubic
# - energy above the most stable polymorph in this dataset (meV per atom) = 0.0
data_Ti3H3Au
_chemical_formula_sum 'Ti6 H6 Au2'
_space_group_name_H-M_alt 'P m -3 n'
_space_group_IT_number 223
_space_group_name_Hall '-P 4n 2 3'
_cell_length_a 5.284
_cell_length_b 5.284
_cell_length_c 5.284
_cell_angle_alpha 90.00
_cell_angle_beta 90.00
_cell_angle_gamma 90.00
loop_
_atom_site_label
_atom_site_type_symbol
_atom_site_fract_x
_atom_site_fract_y
_atom_site_fract_z
_atom_site_occupancy
Ti1 Ti 0.000 0.250 0.500 1
H1 H 0.000 0.500 0.250 1
Au1 Au 0.000 0.000 0.000 1

# ZrIrCl | Alexandria | GGA-PBE | relaxed
# - crystal system = triclinic
# - E_form (uncorrected) (eV/atom) = -0.986
# - energy above the most stable polymorph in this dataset (meV per atom) = 58.5
data_ZrIrCl
_chemical_formula_sum 'Zr2 Ir2 Cl2'
_space_group_name_H-M_alt 'P -1'
_space_group_IT_number 2
_space_group_name_Hall '-P 1'
_cell_length_a 3.479
_cell_length_b 4.894
_cell_length_c 10.286
_cell_angle_alpha 96.03
_cell_angle_beta 91.16
_cell_angle_gamma 110.27
loop_
_atom_site_label
_atom_site_type_symbol
_atom_site_fract_x
_atom_site_fract_y
_atom_site_fract_z
_atom_site_occupancy
Zr1 Zr 0.080 0.135 0.155 1
Ir1 Ir 0.352 0.709 0.023 1
Cl1 Cl 0.359 0.763 0.656 1

# DyHo2Er8 | Alexandria | GGA-PBE | relaxed
# - crystal system = monoclinic
# - energy above the most stable polymorph in this dataset (meV per atom) = 34.5
data_DyHo2Er8
_chemical_formula_sum 'Dy2 Ho4 Er16'
_space_group_name_H-M_alt 'C 1 2/m 1'
_space_group_IT_number 12
_space_group_name_Hall '-C 2y'
_cell_length_a 17.013
_cell_length_b 6.614
_cell_length_c 6.432
_cell_angle_alpha 90.00
_cell_angle_beta 109.50
_cell_angle_gamma 90.00
loop_
_atom_site_label
_atom_site_type_symbol
_atom_site_fract_x
_atom_site_fract_y
_atom_site_fract_z
_atom_site_occupancy
Dy1 Dy 0.000 0.000 0.000 1
Ho1 Ho 0.219 0.500 0.105 1
Er1 Er 0.060 0.500 0.245 1
Er2 Er 0.101 0.240 0.690 1
Er3 Er 0.210 0.000 0.331 1

# LiInGaGe | Alexandria | GGA-PBE | relaxed
# - crystal system = cubic
# - E_tot (hartree per atom) = -0.113
data_LiInGaGe
_chemical_formula_sum 'Li4 In4 Ga4 Ge4'
_space_group_name_H-M_alt 'F -4 3 m'
_space_group_IT_number 216
_space_group_name_Hall 'F -4 2 3'
_cell_length_a 6.862
_cell_length_b 6.862
_cell_length_c 6.862
_cell_angle_alpha 90.00
_cell_angle_beta 90.00
_cell_angle_gamma 90.00
loop_
_atom_site_label
_atom_site_type_symbol
_atom_site_fract_x
_atom_site_fract_y
_atom_site_fract_z
_atom_site_occupancy
Li1 Li 0.000 0.000 0.000 1
In1 In 0.250 0.250 0.250 1
Ga1 Ga 0.000 0.000 0.500 1
Ge1 Ge 0.250 0.250 0.750 1

# Li2AlCu4 | Alexandria | GGA-PBE | relaxed
# - crystal system = orthorhombic
# - E_tot (hartree per atom) = -0.129
data_Li2AlCu4
_chemical_formula_sum 'Li4 Al2 Cu8'
_space_group_name_H-M_alt 'C m m m'
_space_group_IT_number 65
_space_group_name_Hall '-C 2 2'
_cell_length_a 3.779
_cell_length_b 18.478
_cell_length_c 2.599
_cell_angle_alpha 90.00
_cell_angle_beta 90.00
_cell_angle_gamma 90.00
loop_
_atom_site_label
_atom_site_type_symbol
_atom_site_fract_x
_atom_site_fract_y
_atom_site_fract_z
_atom_site_occupancy
Li1 Li 0.000 0.208 0.000 1
Al1 Al 0.000 0.500 0.500 1
Cu1 Cu 0.000 0.071 0.000 1
Cu2 Cu 0.000 0.360 0.500 1

# Tl3CuTc | Alexandria | GGA-PBE | relaxed
# - crystal system = cubic
# - energy above the most stable polymorph in this dataset (meV per atom) = 0.0
data_Tl3CuTc
_chemical_formula_sum 'Tl3 Cu1 Tc1'
_space_group_name_H-M_alt 'P m -3 m'
_space_group_IT_number 221
_space_group_name_Hall '-P 4 2 3'
_cell_length_a 5.331
_cell_length_b 5.331
_cell_length_c 5.331
_cell_angle_alpha 90.00
_cell_angle_beta 90.00
_cell_angle_gamma 90.00
loop_
_atom_site_label
_atom_site_type_symbol
_atom_site_fract_x
_atom_site_fract_y
_atom_site_fract_z
_atom_site_occupancy
Tl1 Tl 0.000 0.000 0.500 1
Cu1 Cu 0.500 0.500 0.500 1
Tc1 Tc 0.000 0.000 0.000 1

# PmYTeSe2 | Alexandria | GGA-PBE | relaxed
# - crystal system = tetragonal
# - E_form (uncorrected) (eV/atom) = -1.365
data_PmYTeSe2
_chemical_formula_sum 'Pm2 Y2 Te2 Se4'
_space_group_name_H-M_alt 'I 4 m m'
_space_group_IT_number 107
_space_group_name_Hall 'I 4 -2'
_cell_length_a 4.665
_cell_length_b 4.665
_cell_length_c 14.250
_cell_angle_alpha 90.00
_cell_angle_beta 90.00
_cell_angle_gamma 90.00
loop_
_atom_site_label
_atom_site_type_symbol
_atom_site_fract_x
_atom_site_fract_y
_atom_site_fract_z
_atom_site_occupancy
Pm1 Pm 0.000 0.000 0.000 1
Y1 Y 0.000 0.000 0.722 1
Te1 Te 0.000 0.000 0.365 1
Se1 Se 0.000 0.500 0.116 1

# PuCdRuO6 | Alexandria | GGA-PBE | relaxed
# - crystal system = trigonal
# - E_form (uncorrected) (eV/atom) = -1.652
data_PuCdRuO6
_chemical_formula_sum 'Pu2 Cd2 Ru2 O12'
_space_group_name_H-M_alt 'P -3 1 c'
_space_group_IT_number 163
_space_group_name_Hall '-P 3 2c'
_cell_length_a 5.3068
_cell_length_b 5.3068
_cell_length_c 10.0059
_cell_angle_alpha 90.00
_cell_angle_beta 90.00
_cell_angle_gamma 120.00
loop_
_atom_site_label
_atom_site_type_symbol
_atom_site_fract_x
_atom_site_fract_y
_atom_site_fract_z
_atom_site_occupancy
Pu1 Pu 0.3333 0.6667 0.2500 1
Cd1 Cd 0.0000 0.0000 0.0000 1
Ru1 Ru 0.3333 0.6667 0.7500 1
O1 O 0.0102 0.3585 0.6389 1

# NdZrPb2 | Alexandria | GGA-PBE | relaxed
# - crystal system = tetragonal
# - E_tot (hartree per atom) = -0.200
data_NdZrPb2
_chemical_formula_sum 'Nd1 Zr1 Pb2'
_space_group_name_H-M_alt 'P 4/m m m'
_space_group_IT_number 123
_space_group_name_Hall '-P 4 2'
_cell_length_a 3.998
_cell_length_b 3.998
_cell_length_c 6.801
_cell_angle_alpha 90.00
_cell_angle_beta 90.00
_cell_angle_gamma 90.00
loop_
_atom_site_label
_atom_site_type_symbol
_atom_site_fract_x
_atom_site_fract_y
_atom_site_fract_z
_atom_site_occupancy
Nd1 Nd 0.000 0.000 0.000 1
Zr1 Zr 0.000 0.000 0.500 1
Pb1 Pb 0.500 0.500 0.273 1